The following is a GGA-PBEsol calculation of crystalline Fe2RuSe at its relaxed geometry, from Alexandria.

Cell: 2.9450 4.1054 8.3523 Å, 90.00 90.00 90.00°
Space group Imm2 (No. 44)
Symmetry-distinct sites (fractional):
Fe (0.0000, 0.0000, 0.0000) [2 per cell]
Fe (0.0000, 0.5000, 0.2427) [2 per cell]
Ru (0.0000, 0.5000, 0.7774) [2 per cell]
Se (0.0000, 0.0000, 0.5152) [2 per cell]

Results
Its calculated volume is 101.0 Å³/cell. Its uncorrected formation energy is 0.27 eV/atom.

=====

The following is a GGA-PBEsol calculation of crystalline Fe2RuSe at its relaxed geometry, from Alexandria.

Cell: 4.8699 7.4460 2.8075 Å, 90.00 90.00 90.00°
Space group Cmmm (No. 65)
Symmetry-distinct sites (fractional):
Fe (0.2500, 0.2500, 0.0000) [4 per cell]
Ru (0.0000, 0.0000, 0.5000) [2 per cell]
Se (0.0000, 0.5000, 0.5000) [2 per cell]

Results
Its calculated volume is 101.8 Å³/cell. Its uncorrected formation energy is 0.33 eV/atom.

=====

The following is a GGA-PBEsol calculation of crystalline Fe2RuSe at its relaxed geometry, from Alexandria.

Cell: 2.7391 2.7391 23.3973 Å, 90.00 90.00 120.00°
Space group R-3m (No. 166, hexagonal axes)
Symmetry-distinct sites (fractional):
Fe (0.0000, 0.0000, 0.2476) [6 per cell]
Ru (0.0000, 0.0000, 0.0000) [3 per cell]
Se (0.0000, 0.0000, 0.5000) [3 per cell]

Results
Its calculated volume is 152.0 Å³/cell. Its uncorrected formation energy is 0.31 eV/atom.